5
Lattice="5.4262 0.0000 0.0000 0.0000 5.4262 0.0000 0.0000 0.0000 5.2535" Properties=species:S:1:pos:R:3 comment="SbPtSI2 PBE relaxed" relative_energy_ev_per_atom=0.000 dos_ef_per_ev_cell=5.74 sg="No. 123" pbc="T T T"
I 0.0000 2.7131 0.0000
I 2.7131 0.0000 0.0000
Sb 0.0000 0.0000 2.6268
S 2.7131 2.7131 2.6268
Pt 0.0000 0.0000 0.0000

***

5
Lattice="-2.9735 -4.8860 -0.4763 0.8633 -0.0553 -4.8214 4.8038 -3.0107 0.8947" Properties=species:S:1:pos:R:3 comment="KHfHg2S PBE relaxed" dos_ef_per_ev_cell=3.85 sg="No. 123" pbc="T T T"
S 0.4316 -0.0277 -2.4107
K 1.3468 -3.9760 -2.2015
Hf 0.0000 0.0000 0.0000
Hg 2.4019 -1.5053 0.4473
Hg -1.4867 -2.4430 -0.2382

***

12
Lattice="-4.4305 -1.4857 3.6609 1.3218 -8.1090 -1.6910 5.9651 2.4335 3.3938" Properties=species:S:1:pos:R:3 comment="Ce2PmSe3 PBE relaxed" relative_energy_ev_per_atom=0.000 dos_ef_per_ev_cell=25.78 sg="No. 71" pbc="T T T"
Ce -0.2001 -4.9089 2.5781
Ce -0.8615 -0.8546 3.4240
Ce 3.7179 -6.3065 1.9396
Ce 3.0565 -2.2522 2.7856
Pm -3.4387 -7.5672 2.3923
Pm 0.3300 -2.0274 -0.4224
Se -1.8852 -2.7702 1.4080
Se -1.2235 -6.8244 0.5619
Se 1.3590 -0.1122 1.5998
Se 0.8359 -2.9946 4.6098
Se 2.0205 -4.1665 0.7538
Se 1.4974 -7.0489 3.7639

***

Number 1: theoretical density 6.47 g cm⁻³, formation energy (no corrections) 591.4 meV per atom, VASP energy -2.887 eV per atom. Number 2: theoretical density 6.70 g cm⁻³, formation energy (no corrections) -389.5 meV per atom, VASP energy -3.546 eV per atom. Number 3: theoretical density 7.00 g cm⁻³, formation energy (no corrections) -1829.0 meV per atom, VASP energy -6.341 eV per atom.